# 1
Ba3UCu2O8 | PBE | optimized geometry

abc: 5.9312 5.9312 7.8025
angles: 90.00 90.00 120.00
Space group P-3m1 (No. 164)
Unique sites:
Ba 0.0000 0.0000 0.0000 (multiplicity 1)
Ba 0.3333 0.6667 0.6557 (multiplicity 2)
U 0.0000 0.0000 0.5000 (multiplicity 1)
Cu 0.3333 0.6667 0.2023 (multiplicity 2)
O 0.1638 0.3277 0.3412 (multiplicity 6)
O 0.3333 0.6667 0.9723 (multiplicity 2)

Properties
Formation energy (no corrections): -2.15 eV/atom


# 2
KFeTe3 | PBE | optimized geometry

abc: 5.220 5.220 5.220
angles: 90.00 90.00 90.00
Space group Pm-3m (No. 221)
Unique sites:
K 0.000 0.000 0.000 (multiplicity 1)
Fe 0.500 0.500 0.500 (multiplicity 1)
Te 0.000 0.500 0.500 (multiplicity 3)

Properties
Formation energy (no corrections): 0.02 eV/atom


# 3
Er5HgOs2 | PBE | optimized geometry

abc: 7.696 7.696 13.250
angles: 90.00 90.00 90.00
Space group I4/mcm (No. 140)
Unique sites:
Er 0.000 0.000 0.000 (multiplicity 4)
Er 0.158 0.342 0.133 (multiplicity 16)
Hg 0.000 0.000 0.250 (multiplicity 4)
Os 0.141 0.359 0.500 (multiplicity 8)

Properties
Energy relative to the elements: -3.0 eV per formula unit


# 4
LaTa2Br | PBE | optimized geometry

abc: 3.130 5.564 10.126
angles: 90.00 90.00 90.00
Space group Cmmm (No. 65)
Unique sites:
La 0.000 0.000 0.000 (multiplicity 2)
Ta 0.000 0.500 0.270 (multiplicity 4)
Br 0.000 0.000 0.500 (multiplicity 2)

Properties
Formation energy (no corrections): 0.68 eV/atom
Excess energy over the best structure of this formula in the dataset: 754 meV per atom


# 5
KSb2Br6 | PBE | optimized geometry

abc: 7.7661 7.7661 6.8751
angles: 90.00 90.00 120.00
Space group P-31m (No. 162)
Unique sites:
K 0.0000 0.0000 0.0000 (multiplicity 1)
Sb 0.3333 0.6667 0.5000 (multiplicity 2)
Br 0.0000 0.3644 0.7223 (multiplicity 6)

Properties
Formation energy (no corrections): -0.72 eV/atom
Excess energy over the best structure of this formula in the dataset: 28 meV per atom


# 6
KRbNa4 | PBE | optimized geometry

abc: 10.604 10.604 10.604
angles: 90.00 90.00 90.00
Space group F-43m (No. 216)
Unique sites:
K 0.000 0.000 0.000 (multiplicity 4)
Rb 0.250 0.250 0.750 (multiplicity 4)
Na 0.125 0.125 0.375 (multiplicity 16)

Properties
Energy relative to the elements: 0.0 eV per formula unit


# 7
NdGa3Ir | PBE | optimized geometry

abc: 4.342 4.342 5.298
angles: 90.00 90.00 90.00
Space group P4mm (No. 99)
Unique sites:
Nd 0.000 0.000 0.000 (multiplicity 1)
Ga 0.000 0.500 0.482 (multiplicity 2)
Ga 0.500 0.500 0.781 (multiplicity 1)
Ir 0.500 0.500 0.242 (multiplicity 1)

Properties
Energy relative to the elements: -2.7 eV per formula unit
Excess energy over the best structure of this formula in the dataset: 0 meV per atom


# 8
Pr8Sm2Ga | PBE | optimized geometry

abc: 5.678 7.612 17.664
angles: 90.00 90.00 90.00
Space group Immm (No. 71)
Unique sites:
Pr 0.000 0.000 0.181 (multiplicity 4)
Pr 0.000 0.233 0.369 (multiplicity 8)
Pr 0.000 0.246 0.000 (multiplicity 4)
Sm 0.000 0.500 0.191 (multiplicity 4)
Ga 0.000 0.500 0.500 (multiplicity 2)

Properties
Energy relative to the elements: -0.2 eV per formula unit


# 9
SiBi2B2 | PBE | optimized geometry

abc: 5.537 5.537 6.094
angles: 90.00 90.00 90.00
Space group I4/mmm (No. 139)
Unique sites:
Si 0.000 0.000 0.000 (multiplicity 2)
Bi 0.000 0.500 0.250 (multiplicity 4)
B 0.000 0.000 0.359 (multiplicity 4)

Properties
Formation energy (no corrections): 0.93 eV/atom
Excess energy over the best structure of this formula in the dataset: 0 meV per atom


# 10
Pr4Sm5Er2 | PBE | optimized geometry

abc: 3.533 9.468 23.242
angles: 90.00 90.00 90.00
Space group Immm (No. 71)
Unique sites:
Pr 0.000 0.000 0.096 (multiplicity 4)
Pr 0.000 0.294 0.500 (multiplicity 4)
Sm 0.000 0.204 0.349 (multiplicity 8)
Sm 0.000 0.500 0.000 (multiplicity 2)
Er 0.000 0.000 0.230 (multiplicity 4)

Properties
Energy relative to the elements: 2.8 eV per formula unit
Excess energy over the best structure of this formula in the dataset: 159 meV per atom


| no. | N(E_F) (states/eV per atom) |
| --- | --- |
| 1 | 0.89 |
| 2 | 1.67 |
| 3 | 0.70 |
| 4 | 1.44 |
| 5 | 0.54 |
| 6 | 0.38 |
| 7 | 0.34 |
| 8 | 1.49 |
| 9 | 0.47 |
| 10 | 1.44 |